# LaCo2Mo

LaCo2Mo after structural relaxation (PBE, Alexandria via LeMat-Bulk).

Unit cell a=4.1327 b=4.1327 c=5.6943 alpha=68.75 beta=68.75 gamma=60.01
Atoms (fractional coordinates):
Co: 0.5530 0.5530 0.3412
Co: 0.9470 0.9470 0.1588
La: 0.7500 0.7500 0.7500
Mo: 0.2500 0.2500 0.2500

Space-group type: R-3m
DFT total energy: -7.4225 eV per atom
Crystal system: trigonal
Energy relative to the elements: 0.07 eV/atom